No. 1
A relaxed structure of CuOsAu2. Source: Alexandria via LeMat-Bulk, functional PBE.

The energy of formation is 0.38 eV/atom. The energy above the most stable polymorph in this dataset is 76 meV/atom. The total magnetization is 0.00 μB/f.u.

a b c (Å): 2.7565 2.7565 9.6700
angles (deg): 90.00 90.00 119.23
Last column: nearest neighbours and their distance in Å.
Fractional positions:
Os 0.5000 0.5000 0.7298  2 Cu 2.56, 6 Os 2.76-2.79
Au 0.0000 0.0000 0.9931  8 Au 2.76-3.01, 2 Os 2.90
Au 0.5000 0.5000 0.2693  2 Cu 2.70, 8 Au 2.76-3.01
Cu 0.0000 0.0000 0.5078  2 Os 2.56, 2 Au 2.70, 6 Cu 2.76-2.79

***

No. 2
A relaxed structure of CuOs2Au. Source: Alexandria via LeMat-Bulk, functional PBE.

The energy of formation is 0.27 eV/atom. The energy above the most stable polymorph in this dataset is 20 meV/atom. The total magnetization is 0.00 μB/f.u.

a b c (Å): 9.1120 9.1120 9.1120
angles (deg): 17.48 17.48 17.48
Last column: nearest neighbours and their distance in Å.
Fractional positions:
Os 0.2560 0.2560 0.2560  9 Os 2.63-2.77
Os 0.0001 0.0001 0.0001  9 Os 2.63-2.77, 3 Cu 2.69
Cu 0.7471 0.7471 0.7471  3 Os 2.69, 3 Au 2.75, 6 Cu 2.77
Au 0.4968 0.4968 0.4968  3 Cu 2.75, 6 Au 2.77, 3 Os 2.96

***

No. 3
A relaxed structure of CuOsAu2. Source: Alexandria via LeMat-Bulk, functional PBE.

The energy of formation is 0.66 eV/atom. The energy above the most stable polymorph in this dataset is 360 meV/atom. The total magnetization is 2.01 μB/f.u.

a b c (Å): 4.4856 4.4856 4.4856
angles (deg): 60.00 60.00 60.00
Last column: nearest neighbours and their distance in Å.
Fractional positions:
Au 0.0000 0.0000 0.0000  4 Au 2.75, 4 Os 2.75
Au 0.2500 0.2500 0.2500  4 Cu 2.75, 4 Au 2.75
Os 0.7500 0.7500 0.7500  4 Au 2.75, 4 Cu 2.75
Cu 0.5000 0.5000 0.5000  4 Au 2.75, 4 Os 2.75

***

No. 4
A relaxed structure of CuOsAu. Source: Alexandria via LeMat-Bulk, functional PBE.

The energy of formation is 0.47 eV/atom. The energy above the most stable polymorph in this dataset is 95 meV/atom. The total magnetization is 0.00 μB/f.u.

a b c (Å): 7.4156 7.1729 2.7175
angles (deg): 84.34 74.27 21.39
Last column: nearest neighbours and their distance in Å.
Fractional positions:
Cu 0.3304 0.3304 0.6696  2 Os 2.57, 2 Au 2.68, 6 Cu 2.72-2.77
Au 0.9930 0.9930 0.0070  2 Cu 2.68, 6 Au 2.72-2.77, 2 Os 2.93
Os 0.6766 0.6766 0.3234  2 Cu 2.57, 6 Os 2.72-2.77

***

No. 5
A relaxed structure of CuOsAu. Source: Alexandria via LeMat-Bulk, functional PBE.

The energy of formation is 0.38 eV/atom. The energy above the most stable polymorph in this dataset is 0 meV/atom. The total magnetization is 0.00 μB/f.u.

a b c (Å): 2.7569 2.7569 6.7848
angles (deg): 90.00 90.00 120.00
Last column: nearest neighbours and their distance in Å.
Fractional positions:
Os 0.3333 0.6667 0.6487  3 Cu 2.62, 6 Os 2.76, 3 Au 2.92
Cu 0.6667 0.3333 0.3415  3 Os 2.62, 6 Cu 2.76, 3 Au 2.76
Au 0.0000 0.0000 0.0097  6 Au 2.76, 3 Cu 2.76, 3 Os 2.92

***

No. 6
A relaxed structure of CuOsAu2. Source: Alexandria via LeMat-Bulk, functional PBE.

The energy of formation is 0.41 eV/atom. The energy above the most stable polymorph in this dataset is 110 meV/atom. The total magnetization is 0.00 μB/f.u.

a b c (Å): 5.3558 5.3558 4.9384
angles (deg): 67.79 67.79 29.10
Last column: nearest neighbours and their distance in Å.
Fractional positions:
Cu 0.5157 0.5157 0.5586  2 Os 2.68, 2 Cu 2.69, 7 Au 2.80-2.83
Au 0.9877 0.9877 0.0807  3 Au 2.69-2.96, 3 Os 2.79-2.83, 4 Cu 2.82-2.83
Au 0.7597 0.7597 0.6751  3 Au 2.69-2.96, 4 Os 2.79-2.86, 3 Cu 2.80-2.83
Os 0.2370 0.2370 0.1856  2 Cu 2.68, 2 Os 2.69, 7 Au 2.79-2.86

***

No. 7
A relaxed structure of CuOsAu2. Source: Alexandria via LeMat-Bulk, functional PBE.

The energy of formation is 0.63 eV/atom. The energy above the most stable polymorph in this dataset is 332 meV/atom. The total magnetization is 1.64 μB/f.u.

a b c (Å): 4.4945 4.4945 4.4945
angles (deg): 60.00 60.00 60.00
Last column: nearest neighbours and their distance in Å.
Fractional positions:
Au 0.7500 0.7500 0.7500  4 Os 2.75, 4 Cu 2.75
Au 0.2500 0.2500 0.2500  4 Os 2.75, 4 Cu 2.75
Cu 0.0000 0.0000 0.0000  8 Au 2.75
Os 0.5000 0.5000 0.5000  8 Au 2.75

***

No. 8
A relaxed structure of CuOsAu2. Source: Alexandria via LeMat-Bulk, functional PBE.

The energy of formation is 0.55 eV/atom. The energy above the most stable polymorph in this dataset is 247 meV/atom. The total magnetization is 0.00 μB/f.u.

a b c (Å): 5.5472 5.5472 5.5472
angles (deg): 151.58 127.95 60.37
Last column: nearest neighbours and their distance in Å.
Fractional positions:
Os 0.2500 0.7500 0.5000  2 Os 2.72, 4 Cu 2.79, 4 Au 2.82
Au 0.9922 0.9922 0.0000  2 Cu 2.69, 6 Au 2.72-2.79, 2 Os 2.82
Au 0.5078 0.5078 0.0000  2 Cu 2.69, 6 Au 2.72-2.79, 2 Os 2.82
Cu 0.7500 0.2500 0.5000  4 Au 2.69, 2 Cu 2.72, 4 Os 2.79

***

No. 9
A relaxed structure of CuOs2Au. Source: Alexandria via LeMat-Bulk, functional PBE.

The energy of formation is 0.68 eV/atom. The energy above the most stable polymorph in this dataset is 427 meV/atom. The total magnetization is 0.00 μB/f.u.

a b c (Å): 4.3875 4.3875 4.3875
angles (deg): 60.00 60.00 60.00
Last column: nearest neighbours and their distance in Å.
Fractional positions:
Os 0.7500 0.7500 0.7500  4 Au 2.69, 4 Os 2.69
Os 0.0000 0.0000 0.0000  4 Os 2.69, 4 Cu 2.69
Au 0.5000 0.5000 0.5000  4 Os 2.69, 4 Cu 2.69
Cu 0.2500 0.2500 0.2500  4 Os 2.69, 4 Au 2.69

***

No. 10
A relaxed structure of CuOs2Au. Source: Alexandria via LeMat-Bulk, functional PBE.

The energy of formation is 0.71 eV/atom. The energy above the most stable polymorph in this dataset is 461 meV/atom. The total magnetization is 0.00 μB/f.u.

a b c (Å): 4.8787 4.8787 2.7906
angles (deg): 90.00 90.00 116.23
Last column: nearest neighbours and their distance in Å.
Fractional positions:
Cu 0.0000 0.5000 0.5000  2 Au 2.58, 2 Cu 2.79, 8 Os 2.81
Os 0.5000 0.5000 0.0000  4 Os 2.58-2.79, 4 Au 2.81, 4 Cu 2.81
Os 0.0000 0.0000 0.0000  4 Os 2.58-2.79, 4 Cu 2.81, 4 Au 2.81
Au 0.5000 0.0000 0.5000  2 Cu 2.58, 2 Au 2.79, 8 Os 2.81

***

No. 11
A relaxed structure of CuOsAu. Source: Alexandria via LeMat-Bulk, functional PBE.

The energy of formation is 0.99 eV/atom. The energy above the most stable polymorph in this dataset is 611 meV/atom. The total magnetization is 2.10 μB/f.u.

a b c (Å): 4.1425 4.1425 4.1425
angles (deg): 60.00 60.00 60.00
Last column: nearest neighbours and their distance in Å.
Fractional positions:
Cu 0.7500 0.7500 0.7500  4 Au 2.54, 4 Os 2.54
Au 0.5000 0.5000 0.5000  4 Cu 2.54
Os 0.0000 0.0000 0.0000  4 Cu 2.54

***

No. 12
A relaxed structure of CuOsAu2. Source: Alexandria via LeMat-Bulk, functional PBE.

The energy of formation is 0.45 eV/atom. The energy above the most stable polymorph in this dataset is 143 meV/atom. The total magnetization is 0.00 μB/f.u.

a b c (Å): 4.8405 4.8405 2.7220
angles (deg): 90.00 90.00 90.00
Last column: nearest neighbours and their distance in Å.
Fractional positions:
Au 0.0000 0.0000 0.0000  2 Au 2.72, 4 Os 2.78, 4 Cu 2.78
Au 0.5000 0.5000 0.0000  2 Au 2.72, 4 Os 2.78, 4 Cu 2.78
Cu 0.5000 0.0000 0.5000  2 Cu 2.72, 8 Au 2.78
Os 0.0000 0.5000 0.5000  2 Os 2.72, 8 Au 2.78